Material: BaScSe2
Method: DFT, PBE
State: relaxed

Calculated values
**Energy relative to the elements, uncorrected**: -1.58 eV/atom
**Energy**: -43.07 eV per cell

The structure in CIF format:
```
data_BaScSe2
_cell_length_a 4.0724
_cell_length_b 4.0724
_cell_length_c 14.2759
_cell_angle_alpha 90.00
_cell_angle_beta 90.00
_cell_angle_gamma 90.00
_symmetry_space_group_name_H-M 'I -4 m 2'
_symmetry_Int_Tables_number 119
_symmetry_space_group_name_Hall 'I -4 -2'
loop_
_atom_site_label
_atom_site_type_symbol
_atom_site_fract_x
_atom_site_fract_y
_atom_site_fract_z
Ba1 Ba 0.0000 0.0000 0.0000
Sc1 Sc 0.0000 0.5000 0.7500
Se1 Se 0.0000 0.0000 0.3677
```

Material: BaScSe2
Method: DFT, PBE
State: relaxed

Calculated values
**Energy relative to the elements, uncorrected**: -1.42 eV/atom
**Energy**: -20.91 eV per cell

The structure in CIF format:
```
data_BaScSe2
_cell_length_a 3.6426
_cell_length_b 3.6426
_cell_length_c 7.5549
_cell_angle_alpha 90.00
_cell_angle_beta 90.00
_cell_angle_gamma 90.00
_symmetry_space_group_name_H-M 'P 4/m m m'
_symmetry_Int_Tables_number 123
_symmetry_space_group_name_Hall '-P 4 2'
loop_
_atom_site_label
_atom_site_type_symbol
_atom_site_fract_x
_atom_site_fract_y
_atom_site_fract_z
Ba1 Ba 0.0000 0.0000 0.0000
Sc1 Sc 0.0000 0.0000 0.5000
Se1 Se 0.5000 0.5000 0.2876
```

Material: Ba2SrScSe
Method: DFT, PBE
State: relaxed

Calculated values
**Energy relative to the elements, uncorrected**: -0.13 eV/atom
**Energy**: -15.99 eV per cell

The structure in CIF format:
```
data_Ba2SrScSe
_cell_length_a 7.0226
_cell_length_b 7.0226
_cell_length_c 5.0405
_cell_angle_alpha 90.00
_cell_angle_beta 90.00
_cell_angle_gamma 90.00
_symmetry_space_group_name_H-M 'P 4/m m m'
_symmetry_Int_Tables_number 123
_symmetry_space_group_name_Hall '-P 4 2'
loop_
_atom_site_label
_atom_site_type_symbol
_atom_site_fract_x
_atom_site_fract_y
_atom_site_fract_z
Ba1 Ba 0.0000 0.5000 0.0000
Sr1 Sr 0.0000 0.0000 0.5000
Sc1 Sc 0.5000 0.5000 0.0000
Se1 Se 0.5000 0.5000 0.5000
```

Material: Ba2SrScSe
Method: DFT, PBE
State: relaxed

Calculated values
**Energy relative to the elements, uncorrected**: 0.72 eV/atom
**Energy**: -11.77 eV per cell

The structure in CIF format:
```
data_Ba2SrScSe
_cell_length_a 6.4220
_cell_length_b 6.4220
_cell_length_c 5.4036
_cell_angle_alpha 90.00
_cell_angle_beta 90.00
_cell_angle_gamma 90.00
_symmetry_space_group_name_H-M 'P 4/m m m'
_symmetry_Int_Tables_number 123
_symmetry_space_group_name_Hall '-P 4 2'
loop_
_atom_site_label
_atom_site_type_symbol
_atom_site_fract_x
_atom_site_fract_y
_atom_site_fract_z
Ba1 Ba 0.0000 0.5000 0.0000
Sr1 Sr 0.0000 0.0000 0.0000
Sc1 Sc 0.0000 0.0000 0.5000
Se1 Se 0.5000 0.5000 0.5000
```

Material: Ba3Tm3ScSe8
Method: DFT, PBE
State: relaxed

Calculated values
**Energy relative to the elements, uncorrected**: -1.87 eV/atom
**Energy**: -244.25 eV per cell

The structure in CIF format:
```
data_Ba3Tm3ScSe8
_cell_length_a 8.2881
_cell_length_b 8.2881
_cell_length_c 22.5692
_cell_angle_alpha 90.00
_cell_angle_beta 90.00
_cell_angle_gamma 120.00
_symmetry_space_group_name_H-M 'R -3 m'
_symmetry_Int_Tables_number 166
_symmetry_space_group_name_Hall '-R 3 2"'
loop_
_atom_site_label
_atom_site_type_symbol
_atom_site_fract_x
_atom_site_fract_y
_atom_site_fract_z
Ba1 Ba 0.0000 0.5000 0.0000
Tm1 Tm 0.0000 0.5000 0.5000
Sc1 Sc 0.0000 0.0000 0.5000
Se1 Se 0.0000 0.0000 0.2363
Se2 Se 0.0047 0.5024 0.2344
```

Material: Ba2TmScSe5
Method: DFT, PBE
State: relaxed

Calculated values
**Energy relative to the elements, uncorrected**: -1.90 eV/atom
**Energy**: -196.75 eV per cell

The structure in CIF format:
```
data_Ba2TmScSe5
_cell_length_a 4.3566
_cell_length_b 17.7636
_cell_length_c 13.9050
_cell_angle_alpha 90.00
_cell_angle_beta 90.00
_cell_angle_gamma 90.00
_symmetry_space_group_name_H-M 'C m c 21'
_symmetry_Int_Tables_number 36
_symmetry_space_group_name_Hall 'C 2c -2'
loop_
_atom_site_label
_atom_site_type_symbol
_atom_site_fract_x
_atom_site_fract_y
_atom_site_fract_z
Ba1 Ba 0.0000 0.1066 0.0000
Ba2 Ba 0.0000 0.1439 0.6210
Tm1 Tm 0.0000 0.2117 0.3323
Sc1 Sc 0.0000 0.4718 0.7661
Se1 Se 0.0000 0.0524 0.3646
Se2 Se 0.0000 0.2836 0.9658
Se3 Se 0.0000 0.3220 0.7000
Se4 Se 0.0000 0.3712 0.3124
Se5 Se 0.0000 0.4898 0.0894
```